Material: LiPuN
Method: DFT, PBE-GGA
State: optimized geometry

## Properties
- space group = C2/m (12)
- uncorrected energy (eV/cell) = -52.5
- V (Å³ per cell) = 89

a = 5.558 Å, b = 5.558 Å, c = 5.356 Å
α = 100.88°, β = 100.88°, γ = 33.43°
Fractional coordinates of all 6 atoms:
1 Li 0.158 0.158 0.046
2 Li 0.842 0.842 0.954
3 Pu 0.392 0.392 0.477
4 Pu 0.608 0.608 0.523
5 N 0.245 0.245 0.714
6 N 0.755 0.755 0.286

---

Material: Cs2AsAuI
Method: DFT, PBE-GGA
State: optimized geometry

## Properties
- space group = P4/mmm (123)
- ΔE to the lowest computed polymorph (meV per atom) = 0.0
- V (Å³ per cell) = 243

a = 7.174 Å, b = 7.174 Å, c = 4.713 Å
α = 90.00°, β = 90.00°, γ = 90.00°
Fractional coordinates of all 5 atoms:
1 Cs 0.000 0.500 0.000
2 Cs 0.500 0.000 0.000
3 As 0.000 0.000 0.000
4 Au 0.000 0.000 0.500
5 I 0.500 0.500 0.500

---

Material: AcZnGeH
Method: DFT, PBE-GGA
State: optimized geometry

## Properties
- space group = P3m1 (156)
- uncorrected energy (eV/cell) = -15.9
- V (Å³ per cell) = 76

a = 4.369 Å, b = 4.369 Å, c = 4.625 Å
α = 90.00°, β = 90.00°, γ = 120.00°
Fractional coordinates of all 4 atoms:
1 Ac 0.000 0.000 0.000
2 Zn 0.333 0.667 0.474
3 Ge 0.667 0.333 0.528
4 H 0.333 0.667 0.068

---

Material: AlBi3C
Method: DFT, PBE-GGA
State: optimized geometry

## Properties
- space group = Pm-3m (221)
- ΔE to the lowest computed polymorph (meV per atom) = 0.0
- formation energy (meV/atom) = 1009.2
- V (Å³ per cell) = 127

a = 5.024 Å, b = 5.024 Å, c = 5.024 Å
α = 90.00°, β = 90.00°, γ = 90.00°
Fractional coordinates of all 5 atoms:
1 Al 0.000 0.000 0.000
2 Bi 0.000 0.500 0.500
3 Bi 0.500 0.000 0.500
4 Bi 0.500 0.500 0.000
5 C 0.500 0.500 0.500